# 1
# LaTbDyTm2

A relaxed LaTbDyTm2 crystal (PBE, Alexandria).

Its total energy is -21.315 eV/f.u. For the formation energy, the calculation gives 1.788 eV per formula unit. For the size of the total moment, the calculation gives 0.0 μB/f.u.

It has space group Cmcm (No. 63), with a = 8.393 Å, b = 11.476 Å, c = 7.208 Å, α = 90.00°, β = 90.00° and γ = 90.00°. The inequivalent atoms are La at (0.000, 0.233, 0.250), Tb at (0.000, 0.499, 0.750), Dy at (0.000, 0.218, 0.750) and Tm at (0.189, 0.000, 0.000).



# 2
# LaTbDyTm

A relaxed LaTbDyTm crystal (PBE, Alexandria).

Its total energy is -18.202 eV/f.u. For the formation energy, the calculation gives 0.430 eV per formula unit. Its energy relative to the lowest polymorph listed for this composition is 0.000 eV/atom. For the size of the total moment, the calculation gives 0.0 μB/f.u.

It has space group Cm (No. 8), with a = 12.419 Å, b = 5.849 Å, c = 3.819 Å, α = 90.00°, β = 107.84° and γ = 90.00°. The inequivalent atoms are La at (0.000, 0.000, 0.000), Tb at (0.237, 0.500, 0.208), Dy at (0.261, 0.000, 0.733) and Tm at (0.498, 0.000, 0.481).



# 3
# La2Tb5DyTm

A relaxed La2Tb5DyTm crystal (PBE, Alexandria).

Its total energy is -40.848 eV/f.u. For the formation energy, the calculation gives 1.231 eV per formula unit. For the size of the total moment, the calculation gives 0.0 μB/f.u.

It has space group Cmc2_1 (No. 36), with a = 5.655 Å, b = 19.927 Å, c = 10.728 Å, α = 90.00°, β = 90.00° and γ = 90.00°. The inequivalent atoms are La at (0.000, 0.113, 0.000), La at (0.000, 0.116, 0.584), Tb at (0.000, 0.016, 0.288), Tb at (0.000, 0.280, 0.577), Tb at (0.000, 0.299, 0.972), Tb at (0.000, 0.385, 0.287), Tb at (0.000, 0.481, 0.007), Dy at (0.000, 0.411, 0.728) and Tm at (0.000, 0.200, 0.278).



# 4
# La3Tb2Dy6Tm

A relaxed La3Tb2Dy6Tm crystal (PBE, Alexandria).

Its total energy is -55.862 eV/f.u. For the formation energy, the calculation gives 0.265 eV per formula unit. For the size of the total moment, the calculation gives 0.0 μB/f.u.

It has space group C2/m (No. 12), with a = 6.226 Å, b = 10.788 Å, c = 11.880 Å, α = 90.00°, β = 100.07° and γ = 90.00°. The inequivalent atoms are La at (0.000, 0.000, 0.000), La at (0.000, 0.333, 0.000), Tb at (0.000, 0.166, 0.500), Dy at (0.247, 0.334, 0.744), Dy at (0.248, 0.000, 0.744) and Tm at (0.000, 0.500, 0.500).



# 5
# LaTb2Dy5Tm

A relaxed LaTb2Dy5Tm crystal (PBE, Alexandria).

Its total energy is -39.092 eV/f.u. For the formation energy, the calculation gives 2.578 eV per formula unit. For the size of the total moment, the calculation gives 0.0 μB/f.u.

It has space group I4/mcm (No. 140), with a = 8.931 Å, b = 8.931 Å, c = 14.835 Å, α = 90.00°, β = 90.00° and γ = 90.00°. The inequivalent atoms are La at (0.000, 0.000, 0.250), Tb at (0.113, 0.387, 0.000), Dy at (0.000, 0.000, 0.000), Dy at (0.205, 0.295, 0.368) and Tm at (0.000, 0.500, 0.250).



# 6
# La4TbDy2Tm2

A relaxed La4TbDy2Tm2 crystal (PBE, Alexandria).

Its total energy is -42.214 eV/f.u. For the formation energy, the calculation gives 0.273 eV per formula unit. For the size of the total moment, the calculation gives 0.0 μB/f.u.

It has space group C2/m (No. 12), with a = 18.806 Å, b = 3.636 Å, c = 8.865 Å, α = 90.00°, β = 90.18° and γ = 90.00°. The inequivalent atoms are La at (0.056, 0.000, 0.172), La at (0.223, 0.500, 0.173), Tb at (0.000, 0.500, 0.500), Dy at (0.111, 0.500, 0.827) and Tm at (0.166, 0.000, 0.503).